# DyTm2Sn3IrPd2 | OQMD | PBE | optimized geometry
# DFT total energy	-5.890	eV/atom
# crystal system	orthorhombic
# total moment	0.01	μB per formula unit
data_DyTm2Sn3IrPd2
_symmetry_space_group_name_H-M 'A m m 2'
_symmetry_Int_Tables_number 38
_cell_length_a 3.829
_cell_length_b 13.191
_cell_length_c 7.604
_cell_angle_alpha 90.00
_cell_angle_beta 90.00
_cell_angle_gamma 90.00
loop_
_symmetry_equiv_pos_as_xyz
'x,y,z'
'-x,-y,z'
'-x,y,z'
'x,-y,z'
'x,y+1/2,z+1/2'
'-x,-y+1/2,z+1/2'
'-x,y+1/2,z+1/2'
'x,-y+1/2,z+1/2'
loop_
_atom_site_label
_atom_site_type_symbol
_atom_site_fract_x
_atom_site_fract_y
_atom_site_fract_z
Dy1 Dy 0.000 0.000 0.000
Tm1 Tm 0.000 0.199 0.402
Sn1 Sn 0.500 0.000 0.338
Sn2 Sn 0.500 0.131 0.731
Ir1 Ir 0.000 0.000 0.599
Pd1 Pd 0.500 0.168 0.101

# DyY2Sn3IrPd2 | OQMD | PBE | optimized geometry
# DFT total energy	-6.339	eV/atom
# crystal system	orthorhombic
# total moment	0.01	μB per formula unit
data_DyY2Sn3IrPd2
_symmetry_space_group_name_H-M 'A m m 2'
_symmetry_Int_Tables_number 38
_cell_length_a 3.869
_cell_length_b 13.232
_cell_length_c 7.645
_cell_angle_alpha 90.00
_cell_angle_beta 90.00
_cell_angle_gamma 90.00
loop_
_symmetry_equiv_pos_as_xyz
'x,y,z'
'-x,-y,z'
'-x,y,z'
'x,-y,z'
'x,y+1/2,z+1/2'
'-x,-y+1/2,z+1/2'
'-x,y+1/2,z+1/2'
'x,-y+1/2,z+1/2'
loop_
_atom_site_label
_atom_site_type_symbol
_atom_site_fract_x
_atom_site_fract_y
_atom_site_fract_z
Dy1 Dy 0.000 0.000 0.000
Y1 Y 0.000 0.200 0.599
Sn1 Sn 0.500 0.000 0.659
Sn2 Sn 0.500 0.130 0.269
Ir1 Ir 0.000 0.000 0.398
Pd1 Pd 0.500 0.166 0.900

# Dy3Zn3Ir2Pd | OQMD | PBE | optimized geometry
# DFT total energy	-5.235	eV/atom
# crystal system	hexagonal
# energy of formation from the pure elements	-736	meV per atom
# total moment	0.01	μB per formula unit
data_Dy3Zn3Ir2Pd
_symmetry_space_group_name_H-M 'P -6 2 m'
_symmetry_Int_Tables_number 189
_symmetry_space_group_name_Hall 'P -6 -2'
_cell_length_a 7.2180
_cell_length_b 7.2180
_cell_length_c 3.8533
_cell_angle_alpha 90.00
_cell_angle_beta 90.00
_cell_angle_gamma 120.00
loop_
_atom_site_label
_atom_site_type_symbol
_atom_site_fract_x
_atom_site_fract_y
_atom_site_fract_z
Dy1 Dy 0.0000 0.5910 0.0000
Zn1 Zn 0.0000 0.2553 0.5000
Ir1 Ir 0.3333 0.6667 0.5000
Pd1 Pd 0.0000 0.0000 0.0000

# Dy3Zn3IrPd2 | OQMD | PBE | optimized geometry
# DFT total energy	-4.817	eV/atom
# crystal system	hexagonal
# energy of formation from the pure elements	-728	meV per atom
# total moment	0.01	μB per formula unit
data_Dy3Zn3IrPd2
_symmetry_space_group_name_H-M 'P -6 2 m'
_symmetry_Int_Tables_number 189
_symmetry_space_group_name_Hall 'P -6 -2'
_cell_length_a 7.2254
_cell_length_b 7.2254
_cell_length_c 3.9191
_cell_angle_alpha 90.00
_cell_angle_beta 90.00
_cell_angle_gamma 120.00
loop_
_atom_site_label
_atom_site_type_symbol
_atom_site_fract_x
_atom_site_fract_y
_atom_site_fract_z
Dy1 Dy 0.0000 0.6023 0.0000
Zn1 Zn 0.0000 0.2469 0.5000
Ir1 Ir 0.0000 0.0000 0.0000
Pd1 Pd 0.3333 0.6667 0.5000

# PmDyIr | OQMD | PBE | optimized geometry
# DFT total energy	-5.834	eV/atom
# crystal system	cubic
# energy of formation from the pure elements	234	meV per atom
# total moment	0.01	μB per formula unit
data_PmDyIr
_symmetry_space_group_name_H-M 'F -4 3 m'
_symmetry_Int_Tables_number 216
_symmetry_space_group_name_Hall 'F -4 2 3'
_cell_length_a 6.720
_cell_length_b 6.720
_cell_length_c 6.720
_cell_angle_alpha 90.00
_cell_angle_beta 90.00
_cell_angle_gamma 90.00
loop_
_atom_site_label
_atom_site_type_symbol
_atom_site_fract_x
_atom_site_fract_y
_atom_site_fract_z
Pm1 Pm 0.000 0.000 0.000
Dy1 Dy 0.250 0.250 0.750
Ir1 Ir 0.250 0.250 0.250

# PrDySi4Ir2 | OQMD | PBE | optimized geometry
# DFT total energy	-5.844	eV/atom
# crystal system	orthorhombic
# total moment	0.01	μB per formula unit
data_PrDySi4Ir2
_symmetry_space_group_name_H-M 'A m m 2'
_symmetry_Int_Tables_number 38
_cell_length_a 2.973
_cell_length_b 4.398
_cell_length_c 26.539
_cell_angle_alpha 90.00
_cell_angle_beta 90.00
_cell_angle_gamma 90.00
loop_
_symmetry_equiv_pos_as_xyz
'x,y,z'
'-x,-y,z'
'-x,y,z'
'x,-y,z'
'x,y+1/2,z+1/2'
'-x,-y+1/2,z+1/2'
'-x,y+1/2,z+1/2'
'x,-y+1/2,z+1/2'
loop_
_atom_site_label
_atom_site_type_symbol
_atom_site_fract_x
_atom_site_fract_y
_atom_site_fract_z
Pr1 Pr 0.000 0.000 0.000
Dy1 Dy 0.000 0.000 0.870
Si1 Si 0.000 0.000 0.113
Si2 Si 0.000 0.000 0.207
Si3 Si 0.000 0.000 0.669
Si4 Si 0.000 0.000 0.762
Ir1 Ir 0.000 0.000 0.297
Ir2 Ir 0.000 0.000 0.580

# Dy2Si4IrPt | OQMD | PBE | optimized geometry
# DFT total energy	-6.689	eV/atom
# crystal system	orthorhombic
# total moment	0.01	μB per formula unit
data_Dy2Si4IrPt
_symmetry_space_group_name_H-M 'A m m 2'
_symmetry_Int_Tables_number 38
_cell_length_a 4.215
_cell_length_b 4.111
_cell_length_c 16.738
_cell_angle_alpha 90.00
_cell_angle_beta 90.00
_cell_angle_gamma 90.00
loop_
_symmetry_equiv_pos_as_xyz
'x,y,z'
'-x,-y,z'
'-x,y,z'
'x,-y,z'
'x,y+1/2,z+1/2'
'-x,-y+1/2,z+1/2'
'-x,y+1/2,z+1/2'
'x,-y+1/2,z+1/2'
loop_
_atom_site_label
_atom_site_type_symbol
_atom_site_fract_x
_atom_site_fract_y
_atom_site_fract_z
Dy1 Dy 0.000 0.000 0.000
Dy2 Dy 0.500 0.000 0.208
Si1 Si 0.000 0.000 0.357
Si2 Si 0.000 0.000 0.636
Si3 Si 0.500 0.000 0.567
Si4 Si 0.500 0.000 0.852
Ir1 Ir 0.500 0.000 0.426
Pt1 Pt 0.000 0.000 0.777

# Dy3Sn3IrPt2 | OQMD | PBE | optimized geometry
# DFT total energy	-6.241	eV/atom
# crystal system	hexagonal
# total moment	0.01	μB per formula unit
data_Dy3Sn3IrPt2
_symmetry_space_group_name_H-M 'P -6 2 m'
_symmetry_Int_Tables_number 189
_symmetry_space_group_name_Hall 'P -6 -2'
_cell_length_a 7.5408
_cell_length_b 7.5408
_cell_length_c 3.9501
_cell_angle_alpha 90.00
_cell_angle_beta 90.00
_cell_angle_gamma 120.00
loop_
_atom_site_label
_atom_site_type_symbol
_atom_site_fract_x
_atom_site_fract_y
_atom_site_fract_z
Dy1 Dy 0.0000 0.5965 0.0000
Sn1 Sn 0.0000 0.2574 0.5000
Ir1 Ir 0.0000 0.0000 0.0000
Pt1 Pt 0.3333 0.6667 0.5000

# TbDy2Zn3Ir2Pt | OQMD | PBE | optimized geometry
# DFT total energy	-5.391	eV/atom
# crystal system	orthorhombic
# energy of formation from the pure elements	-792	meV per atom
# total moment	0.00	μB per formula unit
data_TbDy2Zn3Ir2Pt
_symmetry_space_group_name_H-M 'A m m 2'
_symmetry_Int_Tables_number 38
_cell_length_a 3.894
_cell_length_b 12.468
_cell_length_c 7.183
_cell_angle_alpha 90.00
_cell_angle_beta 90.00
_cell_angle_gamma 90.00
loop_
_symmetry_equiv_pos_as_xyz
'x,y,z'
'-x,-y,z'
'-x,y,z'
'x,-y,z'
'x,y+1/2,z+1/2'
'-x,-y+1/2,z+1/2'
'-x,y+1/2,z+1/2'
'x,-y+1/2,z+1/2'
loop_
_atom_site_label
_atom_site_type_symbol
_atom_site_fract_x
_atom_site_fract_y
_atom_site_fract_z
Tb1 Tb 0.000 0.000 0.000
Dy1 Dy 0.000 0.204 0.388
Zn1 Zn 0.500 0.000 0.338
Zn2 Zn 0.500 0.127 0.719
Ir1 Ir 0.500 0.167 0.092
Pt1 Pt 0.000 0.000 0.591

# Dy3Zn3IrPt2 | OQMD | PBE | optimized geometry
# DFT total energy	-5.169	eV/atom
# crystal system	hexagonal
# energy of formation from the pure elements	-884	meV per atom
# total moment	0.01	μB per formula unit
data_Dy3Zn3IrPt2
_symmetry_space_group_name_H-M 'P -6 2 m'
_symmetry_Int_Tables_number 189
_symmetry_space_group_name_Hall 'P -6 -2'
_cell_length_a 7.2166
_cell_length_b 7.2166
_cell_length_c 3.9095
_cell_angle_alpha 90.00
_cell_angle_beta 90.00
_cell_angle_gamma 120.00
loop_
_atom_site_label
_atom_site_type_symbol
_atom_site_fract_x
_atom_site_fract_y
_atom_site_fract_z
Dy1 Dy 0.0000 0.5994 0.0000
Zn1 Zn 0.0000 0.2460 0.5000
Ir1 Ir 0.0000 0.0000 0.0000
Pt1 Pt 0.3333 0.6667 0.5000

# DyPuIr | OQMD | PBE | optimized geometry
# DFT total energy	-9.712	eV/atom
# crystal system	cubic
# energy of formation from the pure elements	-518	meV per atom
# offset from the most stable computed form	0	meV per atom
# total moment	5.79	μB per formula unit
data_DyPuIr
_symmetry_space_group_name_H-M 'F -4 3 m'
_symmetry_Int_Tables_number 216
_symmetry_space_group_name_Hall 'F -4 2 3'
_cell_length_a 6.781
_cell_length_b 6.781
_cell_length_c 6.781
_cell_angle_alpha 90.00
_cell_angle_beta 90.00
_cell_angle_gamma 90.00
loop_
_atom_site_label
_atom_site_type_symbol
_atom_site_fract_x
_atom_site_fract_y
_atom_site_fract_z
Dy1 Dy 0.000 0.000 0.000
Pu1 Pu 0.000 0.000 0.500
Ir1 Ir 0.250 0.250 0.250

# RbDyIr | OQMD | PBE | optimized geometry
# DFT total energy	-4.389	eV/atom
# crystal system	cubic
# total moment	0.04	μB per formula unit
data_RbDyIr
_symmetry_space_group_name_H-M 'F -4 3 m'
_symmetry_Int_Tables_number 216
_symmetry_space_group_name_Hall 'F -4 2 3'
_cell_length_a 7.047
_cell_length_b 7.047
_cell_length_c 7.047
_cell_angle_alpha 90.00
_cell_angle_beta 90.00
_cell_angle_gamma 90.00
loop_
_atom_site_label
_atom_site_type_symbol
_atom_site_fract_x
_atom_site_fract_y
_atom_site_fract_z
Rb1 Rb 0.000 0.000 0.000
Dy1 Dy 0.000 0.000 0.500
Ir1 Ir 0.250 0.250 0.250

# Dy2Ir2S | OQMD | PBE | optimized geometry
# DFT total energy	-7.089	eV/atom
# crystal system	orthorhombic
# total moment	0.00	μB per formula unit
data_Dy2Ir2S
_symmetry_space_group_name_H-M 'P b a m'
_symmetry_Int_Tables_number 55
_cell_length_a 4.383
_cell_length_b 12.523
_cell_length_c 3.761
_cell_angle_alpha 90.00
_cell_angle_beta 90.00
_cell_angle_gamma 90.00
loop_
_symmetry_equiv_pos_as_xyz
'x,y,z'
'-x,-y,-z'
'-x,-y,z'
'x,y,-z'
'x+1/2,-y+1/2,-z'
'-x+1/2,y+1/2,z'
'-x+1/2,y+1/2,-z'
'x+1/2,-y+1/2,z'
loop_
_atom_site_label
_atom_site_type_symbol
_atom_site_fract_x
_atom_site_fract_y
_atom_site_fract_z
Dy1 Dy 0.227 0.136 0.000
Ir1 Ir 0.231 0.319 0.500
S1 S 0.000 0.500 0.500

# DyIr4S2 | OQMD | PBE | optimized geometry
# DFT total energy	-6.836	eV/atom
# crystal system	orthorhombic
# total moment	0.00	μB per formula unit
data_DyIr4S2
_symmetry_space_group_name_H-M 'C m m m'
_symmetry_Int_Tables_number 65
_symmetry_space_group_name_Hall '-C 2 2'
_cell_length_a 7.690
_cell_length_b 9.654
_cell_length_c 3.082
_cell_angle_alpha 90.00
_cell_angle_beta 90.00
_cell_angle_gamma 90.00
loop_
_atom_site_label
_atom_site_type_symbol
_atom_site_fract_x
_atom_site_fract_y
_atom_site_fract_z
Dy1 Dy 0.000 0.000 0.000
Ir1 Ir 0.000 0.313 0.000
Ir2 Ir 0.183 0.500 0.500
S1 S 0.250 0.250 0.500

# DyScIr | OQMD | PBE | optimized geometry
# DFT total energy	-6.588	eV/atom
# crystal system	cubic
# energy of formation from the pure elements	7	meV per atom
# offset from the most stable computed form	782	meV per atom
# total moment	0.00	μB per formula unit
data_DyScIr
_symmetry_space_group_name_H-M 'F -4 3 m'
_symmetry_Int_Tables_number 216
_symmetry_space_group_name_Hall 'F -4 2 3'
_cell_length_a 6.426
_cell_length_b 6.426
_cell_length_c 6.426
_cell_angle_alpha 90.00
_cell_angle_beta 90.00
_cell_angle_gamma 90.00
loop_
_atom_site_label
_atom_site_type_symbol
_atom_site_fract_x
_atom_site_fract_y
_atom_site_fract_z
Dy1 Dy 0.000 0.000 0.000
Sc1 Sc 0.250 0.250 0.250
Ir1 Ir 0.000 0.000 0.500

# DyScIr | OQMD | PBE | optimized geometry
# DFT total energy	-6.385	eV/atom
# crystal system	cubic
# energy of formation from the pure elements	210	meV per atom
# offset from the most stable computed form	985	meV per atom
# total moment	0.00	μB per formula unit
data_DyScIr
_symmetry_space_group_name_H-M 'F -4 3 m'
_symmetry_Int_Tables_number 216
_symmetry_space_group_name_Hall 'F -4 2 3'
_cell_length_a 6.502
_cell_length_b 6.502
_cell_length_c 6.502
_cell_angle_alpha 90.00
_cell_angle_beta 90.00
_cell_angle_gamma 90.00
loop_
_atom_site_label
_atom_site_type_symbol
_atom_site_fract_x
_atom_site_fract_y
_atom_site_fract_z
Dy1 Dy 0.000 0.000 0.000
Sc1 Sc 0.250 0.250 0.250
Ir1 Ir 0.250 0.250 0.750

# DyScIr | OQMD | PBE | optimized geometry
# DFT total energy	-7.370	eV/atom
# crystal system	monoclinic
# energy of formation from the pure elements	-776	meV per atom
# offset from the most stable computed form	0	meV per atom
# total moment	0.01	μB per formula unit
data_DyScIr
_symmetry_space_group_name_H-M 'C 1 2 1'
_symmetry_Int_Tables_number 5
_cell_length_a 12.354
_cell_length_b 7.124
_cell_length_c 4.435
_cell_angle_alpha 90.00
_cell_angle_beta 90.08
_cell_angle_gamma 90.00
loop_
_symmetry_equiv_pos_as_xyz
'x,y,z'
'-x,y,-z'
'x+1/2,y+1/2,z'
'-x+1/2,y+1/2,-z'
loop_
_atom_site_label
_atom_site_type_symbol
_atom_site_fract_x
_atom_site_fract_y
_atom_site_fract_z
Dy1 Dy 0.000 0.000 0.000
Dy2 Dy 0.207 0.380 0.000
Sc1 Sc 0.000 0.333 0.500
Sc2 Sc 0.127 0.713 0.500
Ir1 Ir 0.000 0.586 0.000
Ir2 Ir 0.167 0.087 0.500

# Dy6IrSe2 | OQMD | PBE | optimized geometry
# DFT total energy	-5.746	eV/atom
# crystal system	hexagonal
# total moment	0.07	μB per formula unit
data_Dy6IrSe2
_symmetry_space_group_name_H-M 'P -6 2 m'
_symmetry_Int_Tables_number 189
_symmetry_space_group_name_Hall 'P -6 -2'
_cell_length_a 8.0874
_cell_length_b 8.0874
_cell_length_c 3.8992
_cell_angle_alpha 90.00
_cell_angle_beta 90.00
_cell_angle_gamma 120.00
loop_
_atom_site_label
_atom_site_type_symbol
_atom_site_fract_x
_atom_site_fract_y
_atom_site_fract_z
Dy1 Dy 0.0000 0.2491 0.0000
Dy2 Dy 0.0000 0.5950 0.5000
Ir1 Ir 0.0000 0.0000 0.5000
Se1 Se 0.3333 0.6667 0.0000

# DySiIr | OQMD | PBE | optimized geometry
# DFT total energy	-7.259	eV/atom
# crystal system	hexagonal
# total moment	0.00	μB per formula unit
data_DySiIr
_symmetry_space_group_name_H-M 'P 63 m c'
_symmetry_Int_Tables_number 186
_symmetry_space_group_name_Hall 'P 6c -2c'
_cell_length_a 4.1116
_cell_length_b 4.1116
_cell_length_c 8.0309
_cell_angle_alpha 90.00
_cell_angle_beta 90.00
_cell_angle_gamma 120.00
loop_
_atom_site_label
_atom_site_type_symbol
_atom_site_fract_x
_atom_site_fract_y
_atom_site_fract_z
Dy1 Dy 0.0000 0.0000 0.0000
Si1 Si 0.3333 0.6667 0.2491
Ir1 Ir 0.3333 0.6667 0.7489

# DySiIr | OQMD | PBE | optimized geometry
# DFT total energy	-6.578	eV/atom
# crystal system	hexagonal
# total moment	0.00	μB per formula unit
data_DySiIr
_symmetry_space_group_name_H-M 'P 63/m m c'
_symmetry_Int_Tables_number 194
_symmetry_space_group_name_Hall '-P 6c 2c'
_cell_length_a 4.7057
_cell_length_b 4.7057
_cell_length_c 5.7149
_cell_angle_alpha 90.00
_cell_angle_beta 90.00
_cell_angle_gamma 120.00
loop_
_atom_site_label
_atom_site_type_symbol
_atom_site_fract_x
_atom_site_fract_y
_atom_site_fract_z
Dy1 Dy 0.3333 0.6667 0.2500
Si1 Si 0.3333 0.6667 0.7500
Ir1 Ir 0.0000 0.0000 0.0000